MgMn9CdO10: relaxed, GGA+U.

Results
distance to the lowest polymorph of the same formula: 2.081 eV/f.u.
N(E_F): 0.002 states/eV per atom
calculated total energy: -7.0667 eV per atom
V: 13.3 A^3/atom

Structure (POSCAR):
```
MgMn9CdO10
1.0
3.106 -8.480 0.000
3.106 8.480 0.000
-2.639 0.000 5.313
Mg Mn Cd O
1 9 1 10
direct
0.000 0.000 0.000
0.237 0.939 0.815
0.338 0.924 0.364
0.426 0.619 0.420
0.433 0.433 0.812
0.472 0.819 0.012
0.619 0.426 0.420
0.819 0.472 0.012
0.924 0.338 0.364
0.939 0.237 0.815
0.950 0.950 0.449
0.074 0.850 0.075
0.130 0.561 0.102
0.237 0.497 0.672
0.375 0.375 0.128
0.497 0.237 0.672
0.561 0.130 0.102
0.632 0.987 0.470
0.683 0.683 0.672
0.850 0.074 0.075
0.987 0.632 0.470
```